Record 1
A relaxed RbCa2Pd crystal, computed with PBE.

Geometry as extended XYZ:
```
4
Lattice="-2.002 0.044 3.788 1.528 -2.326 3.258 6.258 8.061 5.639" Properties=species:S:1:pos:R:3 pbc="T T T"
Ca 1.896 0.976 8.261
Ca 3.888 4.802 4.423
Rb 0.000 0.000 0.000
Pd 2.892 2.889 6.342
```

Output
Volume = 181.1 Å³ per cell
Total energy = -11.075 eV/cell
Energy above the lowest structure with this stoichiometry = 0 meV/atom
Energy relative to the elements = -88 kJ/mol of formula units
Magnetic moment = 0.000 μB/cell



Record 2
A relaxed RbCa2Pd2 crystal, computed with PBE.

Geometry as extended XYZ:
```
10
Lattice="8.821 0.000 0.000 0.000 8.821 0.000 0.000 0.000 3.458" Properties=species:S:1:pos:R:3 pbc="T T T"
Ca 1.200 3.210 0.000
Ca 7.621 5.611 0.000
Ca 5.611 1.200 0.000
Ca 3.210 7.621 0.000
Rb 0.000 0.000 0.000
Rb 4.410 4.410 0.000
Pd 7.499 3.089 1.729
Pd 5.732 7.499 1.729
Pd 1.322 5.732 1.729
Pd 3.089 1.322 1.729
```

Output
Volume = 269.1 Å³ per cell
Total energy = -33.766 eV/cell
Energy relative to the elements = -147 kJ/mol of formula units
Magnetic moment = 0.000 μB/cell



Look up the total energy of the first one.
-11.075 eV/cell